[1]
DFT (PBE-GGA) results for an optimized crystal structure of MoAs2Ru.

Calculated values
- formation energy (eV/atom) = -0.074
- DOS at the Fermi energy (states/eV/cell) = 2.3

abc: 4.378 4.378 4.378
angles: 60.00 60.00 60.00
Positions (direct):
Ru 0.500 0.500 0.500
As 0.250 0.250 0.250
Mo 0.000 0.000 0.000
As 0.750 0.750 0.750

=====

[2]
DFT (PBE-GGA) results for an optimized crystal structure of MoAs2Ru.

Calculated values
- formation energy (eV/atom) = -0.080
- DOS at the Fermi energy (states/eV/cell) = 3.1

abc: 4.727 4.727 4.517
angles: 75.31 75.31 38.92
Positions (direct):
Ru 0.255 0.255 0.181
As 0.757 0.757 0.685
As 0.994 0.994 0.055
Mo 0.494 0.494 0.579

=====

[3]
DFT (PBE-GGA) results for an optimized crystal structure of MoAsRu2.

Calculated values
- formation energy (eV/atom) = 0.190
- DOS at the Fermi energy (states/eV/cell) = 4.7

abc: 4.364 4.364 4.364
angles: 60.00 60.00 60.00
Positions (direct):
Mo 0.750 0.750 0.750
As 0.500 0.500 0.500
Ru 0.000 0.000 0.000
Ru 0.250 0.250 0.250

=====

[4]
DFT (PBE-GGA) results for an optimized crystal structure of MoAsRu2.

Calculated values
- formation energy (eV/atom) = 0.029
- DOS at the Fermi energy (states/eV/cell) = 3.8

abc: 4.020 2.831 5.381
angles: 74.75 90.00 90.00
Positions (direct):
Ru 0.000 0.064 0.995
Ru 0.500 0.436 0.251
As 0.000 0.307 0.515
Mo 0.500 0.693 0.740

=====

[5]
DFT (PBE-GGA) results for an optimized crystal structure of Mo4AsRu.

Calculated values
- formation energy (eV/atom) = 0.577
- DOS at the Fermi energy (states/eV/cell) = 7.0

abc: 5.185 5.185 5.185
angles: 60.00 60.00 60.00
Positions (direct):
Mo 0.374 0.374 0.374
Ru 0.750 0.750 0.750
Mo 0.877 0.374 0.374
As 0.000 0.000 0.000
Mo 0.374 0.877 0.374
Mo 0.374 0.374 0.877

=====

[6]
DFT (PBE-GGA) results for an optimized crystal structure of MoAs2Ru.

Calculated values
- formation energy (eV/atom) = 0.415
- DOS at the Fermi energy (states/eV/cell) = 5.4

abc: 4.477 4.477 4.477
angles: 60.00 60.00 60.00
Positions (direct):
Mo 0.500 0.500 0.500
Ru 0.750 0.750 0.750
As 0.000 0.000 0.000
As 0.250 0.250 0.250